No. 1
Computed, not measured: a PBEsol-optimized structure of ZnTe2Os at the SCAN level of DFT. Values from VASP.

Formation energy without anion corrections = 0.5872 eV per atom

Structure (Quantum ESPRESSO input):
```
&SYSTEM
  ibrav = 0, nat = 4, ntyp = 3
/
ATOMIC_SPECIES
Zn 65.41 Zn.upf
Te 127.60 Te.upf
Os 190.23 Os.upf
CELL_PARAMETERS angstrom
3.205 0.000 0.000
0.000 3.205 0.000
0.000 0.000 7.802
ATOMIC_POSITIONS crystal
Zn 0.000 0.000 0.000
Te 0.500 0.500 0.282
Te 0.500 0.500 0.718
Os 0.000 0.000 0.500
```


No. 2
Computed, not measured: a PBEsol-optimized structure of Cs6GaSb3 at the SCAN level of DFT. Values from VASP.

Formation energy without anion corrections = -0.5370 eV per atom

Structure (Quantum ESPRESSO input):
```
&SYSTEM
  ibrav = 0, nat = 20, ntyp = 3
/
ATOMIC_SPECIES
Cs 132.91 Cs.upf
Ga 69.72 Ga.upf
Sb 121.76 Sb.upf
CELL_PARAMETERS angstrom
10.796 0.000 0.000
0.000 6.415 0.000
-2.487 0.000 12.347
ATOMIC_POSITIONS crystal
Cs 0.044 0.250 0.078
Cs 0.055 0.250 0.448
Cs 0.252 0.750 0.782
Cs 0.368 0.250 0.980
Cs 0.376 0.250 0.324
Cs 0.407 0.250 0.635
Cs 0.593 0.750 0.365
Cs 0.624 0.750 0.676
Cs 0.632 0.750 0.020
Cs 0.748 0.250 0.218
Cs 0.945 0.750 0.552
Cs 0.956 0.750 0.922
Ga 0.176 0.750 0.279
Ga 0.824 0.250 0.721
Sb 0.070 0.250 0.768
Sb 0.288 0.750 0.484
Sb 0.309 0.750 0.122
Sb 0.691 0.250 0.878
Sb 0.712 0.250 0.516
Sb 0.930 0.750 0.232
```


No. 3
Computed, not measured: a PBEsol-optimized structure of SrTa2Hg at the SCAN level of DFT. Values from VASP.

Energy of formation = 42.0 kJ/mol of atoms

Structure (Quantum ESPRESSO input):
```
&SYSTEM
  ibrav = 0, nat = 4, ntyp = 3
/
ATOMIC_SPECIES
Sr 87.62 Sr.upf
Ta 180.95 Ta.upf
Hg 200.59 Hg.upf
CELL_PARAMETERS angstrom
2.932 0.000 0.000
0.000 2.932 0.000
0.000 0.000 9.896
ATOMIC_POSITIONS crystal
Sr 0.000 0.000 0.000
Ta 0.000 0.000 0.513
Ta 0.500 0.500 0.295
Hg 0.500 0.500 0.737
```


No. 4
Computed, not measured: a PBEsol-optimized structure of KFeBr3 at the SCAN level of DFT. Values from VASP.

Formation energy without anion corrections = -1.1929 eV per atom

Structure (Quantum ESPRESSO input):
```
&SYSTEM
  ibrav = 0, nat = 20, ntyp = 3
/
ATOMIC_SPECIES
K 39.10 K.upf
Fe 55.84 Fe.upf
Br 79.90 Br.upf
CELL_PARAMETERS angstrom
9.043 0.000 0.000
0.000 3.874 0.000
0.000 0.000 14.936
ATOMIC_POSITIONS crystal
K 0.062 0.250 0.171
K 0.438 0.750 0.671
K 0.562 0.250 0.329
K 0.938 0.750 0.829
Fe 0.151 0.750 0.446
Fe 0.349 0.250 0.946
Fe 0.651 0.750 0.054
Fe 0.849 0.250 0.554
Br 0.028 0.750 0.602
Br 0.177 0.750 0.002
Br 0.228 0.250 0.795
Br 0.272 0.750 0.295
Br 0.323 0.250 0.502
Br 0.472 0.250 0.102
Br 0.528 0.750 0.898
Br 0.677 0.750 0.498
Br 0.728 0.250 0.705
Br 0.772 0.750 0.205
Br 0.823 0.250 0.998
Br 0.972 0.250 0.398
```


no.,VASP energy (hartree per atom),mass density (Mg/m³)
1,-1.44745,10.59
2,-1.32430,4.79
3,-2.03838,12.69
4,-0.66738,4.25